VASP calculation (PBE) on a geometry-optimized Sr2BeSnRh structure.

Calculated values
Symmetry: P4/mmm (123)
Formation enthalpy at 0 K, eV per atom: 0.5707
E, eV/atom: -3.118
N(E_F), states/eV/cell: 3.07
Size of the total moment, μB per formula unit: 0.00

```
Sr2BeSnRh
1.0
6.227 0.000 0.000
0.000 6.227 0.000
0.000 0.000 4.876
Sr Be Sn Rh
2 1 1 1
Direct
0.000 0.500 0.000
0.500 0.000 0.000
0.000 0.000 0.500
0.500 0.500 0.000
0.500 0.500 0.500
```


VASP calculation (PBE) on a geometry-optimized Tb2Be2SnRh5 structure.

Calculated values
Symmetry: P4/mbm (127)
Formation enthalpy at 0 K, eV per atom: -0.8140
E, eV/atom: -6.561
N(E_F), states/eV/cell: 13.11
Size of the total moment, μB per formula unit: 0.00

```
Tb2Be2SnRh5
1.0
9.694 0.000 0.000
0.000 9.694 0.000
0.000 0.000 3.337
Tb Be Sn Rh
4 4 2 10
Direct
0.177 0.323 0.000
0.323 0.823 0.000
0.677 0.177 0.000
0.823 0.677 0.000
0.118 0.618 0.000
0.382 0.118 0.000
0.618 0.882 0.000
0.882 0.382 0.000
0.000 0.000 0.000
0.500 0.500 0.000
0.000 0.500 0.500
0.069 0.782 0.500
0.218 0.069 0.500
0.282 0.569 0.500
0.431 0.282 0.500
0.500 0.000 0.500
0.569 0.718 0.500
0.718 0.431 0.500
0.782 0.931 0.500
0.931 0.218 0.500
```


VASP calculation (PBE) on a geometry-optimized Th4Be3SnRh12 structure.

Calculated values
Symmetry: Im-3m (229)
Formation enthalpy at 0 K, eV per atom: -0.6030
E, eV/atom: -7.257
N(E_F), states/eV/cell: 18.75
Size of the total moment, μB per formula unit: 0.00

```
Th4Be3SnRh12
1.0
-4.433 4.433 4.433
4.433 -4.433 4.433
4.433 4.433 -4.433
Th Be Sn Rh
4 3 1 12
Direct
0.000 0.000 0.500
0.000 0.500 0.000
0.500 0.000 0.000
0.500 0.500 0.500
0.000 0.500 0.500
0.500 0.000 0.500
0.500 0.500 0.000
0.000 0.000 0.000
0.000 0.273 0.273
0.000 0.727 0.727
0.250 0.500 0.750
0.250 0.750 0.500
0.273 0.000 0.273
0.273 0.273 0.000
0.500 0.250 0.750
0.500 0.750 0.250
0.727 0.000 0.727
0.727 0.727 0.000
0.750 0.250 0.500
0.750 0.500 0.250
```


VASP calculation (PBE) on a geometry-optimized BeSnRh2W structure.

Calculated values
Symmetry: P4/mmm (123)
Formation enthalpy at 0 K, eV per atom: 1.0084
E, eV/atom: -6.069
N(E_F), states/eV/cell: 4.49
Size of the total moment, μB per formula unit: 0.00

```
BeSnRh2W
1.0
4.745 0.000 0.000
0.000 4.745 0.000
0.000 0.000 4.453
Be Sn Rh W
1 1 2 1
Direct
0.000 0.000 0.000
0.500 0.500 0.000
0.000 0.500 0.500
0.500 0.000 0.500
0.000 0.000 0.500
```


VASP calculation (PBE) on a geometry-optimized YBeSn2Rh structure.

Calculated values
Symmetry: P4/mmm (123)
Formation enthalpy at 0 K, eV per atom: 1.2327
E, eV/atom: -3.877
N(E_F), states/eV/cell: 5.31
Size of the total moment, μB per formula unit: 0.00

```
YBeSn2Rh
1.0
5.809 0.000 0.000
0.000 5.809 0.000
0.000 0.000 4.849
Y Be Sn Rh
1 1 2 1
Direct
0.000 0.000 0.000
0.500 0.500 0.500
0.000 0.500 0.000
0.500 0.000 0.000
0.000 0.000 0.500
```


VASP calculation (PBE) on a geometry-optimized Y2BeSnRh6 structure.

Calculated values
Symmetry: C2/m (12)
Formation enthalpy at 0 K, eV per atom: -0.2824
E, eV/atom: -6.759
N(E_F), states/eV/cell: 9.41
Size of the total moment, μB per formula unit: 0.01

```
Y2BeSnRh6
1.0
5.539 -3.199 0.000
5.539 3.199 0.000
-3.687 0.000 5.223
Y Be Sn Rh
2 1 1 6
Direct
0.250 0.250 0.250
0.750 0.750 0.750
0.000 0.000 0.500
0.500 0.500 0.000
0.227 0.773 0.272
0.227 0.773 0.728
0.228 0.228 0.728
0.772 0.772 0.272
0.773 0.227 0.272
0.773 0.227 0.728
```


VASP calculation (PBE) on a geometry-optimized Y2Be2SnRh5 structure.

Calculated values
Symmetry: P4/mbm (127)
Formation enthalpy at 0 K, eV per atom: -0.8112
E, eV/atom: -6.925
N(E_F), states/eV/cell: 12.71
Size of the total moment, μB per formula unit: 0.00

```
Y2Be2SnRh5
1.0
9.708 0.000 0.000
0.000 9.708 0.000
0.000 0.000 3.322
Y Be Sn Rh
4 4 2 10
Direct
0.177 0.323 0.000
0.323 0.823 0.000
0.677 0.177 0.000
0.823 0.677 0.000
0.118 0.618 0.000
0.382 0.118 0.000
0.618 0.882 0.000
0.882 0.382 0.000
0.000 0.000 0.000
0.500 0.500 0.000
0.000 0.500 0.500
0.068 0.782 0.500
0.218 0.068 0.500
0.282 0.568 0.500
0.432 0.282 0.500
0.500 0.000 0.500
0.568 0.718 0.500
0.718 0.432 0.500
0.782 0.932 0.500
0.932 0.218 0.500
```


VASP calculation (PBE) on a geometry-optimized ZrBeSnRh2 structure.

Calculated values
Symmetry: P4/mmm (123)
Formation enthalpy at 0 K, eV per atom: 0.6926
E, eV/atom: -5.503
N(E_F), states/eV/cell: 5.03
Size of the total moment, μB per formula unit: 0.00

```
ZrBeSnRh2
1.0
4.858 0.000 0.000
0.000 4.858 0.000
0.000 0.000 4.265
Zr Be Sn Rh
1 1 1 2
Direct
0.000 0.000 0.000
0.500 0.500 0.000
0.500 0.500 0.500
0.000 0.500 0.500
0.500 0.000 0.500
```


VASP calculation (PBE) on a geometry-optimized Sr2BeRh structure.

Calculated values
Symmetry: Pmmm (47)
Formation enthalpy at 0 K, eV per atom: 0.2398
E, eV/atom: -3.371
N(E_F), states/eV/cell: 3.55
Size of the total moment, μB per formula unit: 0.00

```
Sr2BeRh
1.0
3.684 0.000 0.000
0.000 3.700 0.000
0.000 0.000 7.357
Sr Be Rh
2 1 1
Direct
0.000 0.000 0.240
0.000 0.000 0.760
0.500 0.500 0.500
0.500 0.500 0.000
```


VASP calculation (PBE) on a geometry-optimized SrBe2Rh structure.

Calculated values
Symmetry: Fm-3m (225)
Formation enthalpy at 0 K, eV per atom: 0.3936
E, eV/atom: -3.728
N(E_F), states/eV/cell: 4.00
Size of the total moment, μB per formula unit: 0.00

```
SrBe2Rh
1.0
0.000 3.192 3.192
3.192 0.000 3.192
3.192 3.192 0.000
Sr Be Rh
1 2 1
Direct
0.000 0.000 0.000
0.250 0.250 0.250
0.750 0.750 0.750
0.500 0.500 0.500
```


VASP calculation (PBE) on a geometry-optimized Sr2BeRh structure.

Calculated values
Symmetry: P4/mmm (123)
Formation enthalpy at 0 K, eV per atom: 0.2436
E, eV/atom: -3.367
N(E_F), states/eV/cell: 2.33
Size of the total moment, μB per formula unit: 0.00

```
Sr2BeRh
1.0
5.187 0.000 0.000
0.000 5.187 0.000
0.000 0.000 3.704
Sr Be Rh
2 1 1
Direct
0.000 0.500 0.000
0.500 0.000 0.000
0.000 0.000 0.500
0.500 0.500 0.500
```


VASP calculation (PBE) on a geometry-optimized SrBeRh structure.

Calculated values
Symmetry: P-6m2 (187)
Formation enthalpy at 0 K, eV per atom: -0.2578
E, eV/atom: -4.511
N(E_F), states/eV/cell: 1.41
Size of the total moment, μB per formula unit: 0.00

```
SrBeRh
1.0
3.925 0.000 0.000
-1.962 3.399 0.000
0.000 0.000 4.600
Sr Be Rh
1 1 1
Direct
0.000 0.000 0.000
0.667 0.333 0.500
0.333 0.667 0.500
```


VASP calculation (PBE) on a geometry-optimized SrBe2Rh structure.

Calculated values
Symmetry: Pm (6)
Formation enthalpy at 0 K, eV per atom: -0.0224
E, eV/atom: -4.144
N(E_F), states/eV/cell: 1.81
Size of the total moment, μB per formula unit: 0.00

```
SrBe2Rh
1.0
3.132 0.000 0.000
0.000 3.584 0.000
-1.521 0.000 6.103
Sr Be Rh
1 2 1
Direct
0.000 0.000 0.000
0.660 0.500 0.328
0.749 0.000 0.520
0.285 0.500 0.587
```


VASP calculation (PBE) on a geometry-optimized SrBe4Rh structure.

Calculated values
Symmetry: F-43m (216)
Formation enthalpy at 0 K, eV per atom: 0.1654
E, eV/atom: -3.824
N(E_F), states/eV/cell: 5.54
Size of the total moment, μB per formula unit: 0.00

```
SrBe4Rh
1.0
0.000 3.398 3.398
3.398 0.000 3.398
3.398 3.398 0.000
Sr Be Rh
1 4 1
Direct
0.000 0.000 0.000
0.140 0.620 0.620
0.620 0.140 0.620
0.620 0.620 0.140
0.620 0.620 0.620
0.250 0.250 0.250
```


VASP calculation (PBE) on a geometry-optimized SrBe2Rh2 structure.

Calculated values
Symmetry: P4/mbm (127)
Formation enthalpy at 0 K, eV per atom: -0.1554
E, eV/atom: -4.923
N(E_F), states/eV/cell: 5.51
Size of the total moment, μB per formula unit: 0.00

```
SrBe2Rh2
1.0
7.223 0.000 0.000
0.000 7.223 0.000
0.000 0.000 2.883
Sr Be Rh
2 4 4
Direct
0.000 0.000 0.000
0.500 0.500 0.000
0.120 0.380 0.500
0.380 0.880 0.500
0.620 0.120 0.500
0.880 0.620 0.500
0.143 0.643 0.000
0.357 0.143 0.000
0.643 0.857 0.000
0.857 0.357 0.000
```


VASP calculation (PBE) on a geometry-optimized SrBe2Rh structure.

Calculated values
Symmetry: Imm2 (44)
Formation enthalpy at 0 K, eV per atom: 0.1925
E, eV/atom: -3.929
N(E_F), states/eV/cell: 1.79
Size of the total moment, μB per formula unit: 0.00

```
SrBe2Rh
1.0
-1.945 2.822 3.597
1.945 -2.822 3.597
1.945 2.822 -3.597
Sr Be Rh
1 2 1
Direct
0.000 0.000 0.000
0.503 0.503 0.000
0.652 0.152 0.500
0.358 0.858 0.500
```


VASP calculation (PBE) on a geometry-optimized SrBeRh structure.

Calculated values
Symmetry: I4mm (107)
Formation enthalpy at 0 K, eV per atom: -0.1591
E, eV/atom: -4.412
N(E_F), states/eV/cell: 1.31
Size of the total moment, μB per formula unit: 0.00

```
SrBeRh
1.0
-1.608 1.608 5.396
1.608 -1.608 5.396
1.608 1.608 -5.396
Sr Be Rh
1 1 1
Direct
0.000 0.000 0.000
0.726 0.726 0.000
0.277 0.277 0.000
```


VASP calculation (PBE) on a geometry-optimized Sr2BeRh structure.

Calculated values
Symmetry: C2/m (12)
Formation enthalpy at 0 K, eV per atom: 0.4531
E, eV/atom: -3.157
N(E_F), states/eV/cell: 2.45
Size of the total moment, μB per formula unit: 0.00

```
Sr2BeRh
1.0
4.068 -1.802 0.000
4.068 1.802 0.000
-1.410 0.000 7.703
Sr Be Rh
2 1 1
Direct
0.245 0.245 0.226
0.755 0.755 0.774
0.000 0.000 0.500
0.500 0.500 0.000
```


VASP calculation (PBE) on a geometry-optimized SrBeRh structure.

Calculated values
Symmetry: F-43m (216)
Formation enthalpy at 0 K, eV per atom: 1.1190
E, eV/atom: -3.134
N(E_F), states/eV/cell: 2.05
Size of the total moment, μB per formula unit: 0.00

```
SrBeRh
1.0
0.000 3.324 3.324
3.324 0.000 3.324
3.324 3.324 0.000
Sr Be Rh
1 1 1
Direct
0.000 0.000 0.000
0.250 0.250 0.250
0.750 0.750 0.750
```


VASP calculation (PBE) on a geometry-optimized SrBe2Rh structure.

Calculated values
Symmetry: P4/mmm (123)
Formation enthalpy at 0 K, eV per atom: -0.0210
E, eV/atom: -4.142
N(E_F), states/eV/cell: 2.39
Size of the total moment, μB per formula unit: 0.00

```
SrBe2Rh
1.0
3.035 0.000 0.000
0.000 3.035 0.000
0.000 0.000 6.889
Sr Be Rh
1 2 1
Direct
0.000 0.000 0.000
0.500 0.500 0.342
0.500 0.500 0.658
0.000 0.000 0.500
```


VASP calculation (PBE) on a geometry-optimized SrBe2Rh structure.

Calculated values
Symmetry: P4/mmm (123)
Formation enthalpy at 0 K, eV per atom: 0.6208
E, eV/atom: -3.501
N(E_F), states/eV/cell: 3.01
Size of the total moment, μB per formula unit: 0.00

```
SrBe2Rh
1.0
4.533 0.000 0.000
0.000 4.533 0.000
0.000 0.000 3.089
Sr Be Rh
1 2 1
Direct
0.000 0.000 0.000
0.000 0.500 0.500
0.500 0.000 0.500
0.500 0.500 0.000
```


VASP calculation (PBE) on a geometry-optimized SrBe2Rh structure.

Calculated values
Symmetry: Immm (71)
Formation enthalpy at 0 K, eV per atom: 0.1909
E, eV/atom: -3.931
N(E_F), states/eV/cell: 1.76
Size of the total moment, μB per formula unit: 0.00

```
SrBe2Rh
1.0
-1.951 2.752 3.545
1.951 -2.752 3.545
1.951 2.752 -3.545
Sr Be Rh
1 2 1
Direct
0.000 0.000 0.000
0.344 0.844 0.500
0.656 0.156 0.500
0.500 0.500 0.000
```


VASP calculation (PBE) on a geometry-optimized Sr2BeRh structure.

Calculated values
Symmetry: Amm2 (38)
Formation enthalpy at 0 K, eV per atom: -0.1680
E, eV/atom: -3.778
N(E_F), states/eV/cell: 2.59
Size of the total moment, μB per formula unit: 0.00

```
Sr2BeRh
1.0
4.056 0.000 0.000
0.000 2.294 5.854
0.000 -2.294 5.854
Sr Be Rh
2 1 1
Direct
0.000 0.000 0.000
0.500 0.277 0.277
0.000 0.680 0.680
0.500 0.600 0.600
```


VASP calculation (PBE) on a geometry-optimized SrBe2Rh structure.

Calculated values
Symmetry: I4/mmm (139)
Formation enthalpy at 0 K, eV per atom: 0.3442
E, eV/atom: -3.777
N(E_F), states/eV/cell: 1.21
Size of the total moment, μB per formula unit: 0.00

```
SrBe2Rh
1.0
-2.090 2.090 3.677
2.090 -2.090 3.677
2.090 2.090 -3.677
Sr Be Rh
1 2 1
Direct
0.000 0.000 0.000
0.250 0.750 0.500
0.750 0.250 0.500
0.500 0.500 0.000
```


VASP calculation (PBE) on a geometry-optimized SrBe2Rh structure.

Calculated values
Symmetry: P4mm (99)
Formation enthalpy at 0 K, eV per atom: 0.0987
E, eV/atom: -4.023
N(E_F), states/eV/cell: 2.34
Size of the total moment, μB per formula unit: 0.00

```
SrBe2Rh
1.0
3.132 0.000 0.000
0.000 3.132 0.000
0.000 0.000 6.810
Sr Be Rh
1 2 1
Direct
0.000 0.000 0.000
0.000 0.000 0.527
0.500 0.500 0.345
0.500 0.500 0.658
```


VASP calculation (PBE) on a geometry-optimized SrBe2Rh structure.

Calculated values
Symmetry: I-4m2 (119)
Formation enthalpy at 0 K, eV per atom: 0.5727
E, eV/atom: -3.549
N(E_F), states/eV/cell: 2.80
Size of the total moment, μB per formula unit: 0.00

```
SrBe2Rh
1.0
-2.264 2.264 3.334
2.264 -2.264 3.334
2.264 2.264 -3.334
Sr Be Rh
1 2 1
Direct
0.000 0.000 0.000
0.250 0.750 0.500
0.500 0.500 0.000
0.750 0.250 0.500
```


VASP calculation (PBE) on a geometry-optimized SrBeRh structure.

Calculated values
Symmetry: F-43m (216)
Formation enthalpy at 0 K, eV per atom: 0.3540
E, eV/atom: -3.899
N(E_F), states/eV/cell: 2.86
Size of the total moment, μB per formula unit: 0.00

```
SrBeRh
1.0
0.000 3.218 3.218
3.218 0.000 3.218
3.218 3.218 0.000
Sr Be Rh
1 1 1
Direct
0.000 0.000 0.000
0.500 0.500 0.500
0.250 0.250 0.250
```